Entry 1:
A plane-wave DFT calculation with SCAN was carried out for a PBEsol-optimized structure of Zr2CuPt.

Cell and atoms, written as POSCAR:
```
Zr2CuPt
1.0
3.3630 0.0000 0.0000
0.0000 4.2104 0.0000
-1.6815 0.0000 5.0700
Pt Cu Zr
1 1 2
direct
0.5457 0.5000 0.0914
0.7082 0.0000 0.4164
0.9812 0.0000 0.9624
0.2689 0.5000 0.5379
```

Calculated values
E_form   -801 meV/atom
Total magnetization   0.00 μB/f.u.
Space group   Amm2, No. 38

=====

Entry 2:
A plane-wave DFT calculation with SCAN was carried out for a PBEsol-optimized structure of KRb2CrF6.

Cell and atoms, written as POSCAR:
```
KRb2CrF6
1.0
6.2065 0.0000 0.0000
3.1032 5.3750 0.0000
3.1032 1.7917 5.0676
Cr F K Rb
1 6 1 2
direct
0.0000 0.0000 0.0000
0.7826 0.2174 0.2174
0.2174 0.7826 0.2174
0.2174 0.7826 0.7826
0.2174 0.2174 0.7826
0.7826 0.2174 0.7826
0.7826 0.7826 0.2174
0.5000 0.5000 0.5000
0.7500 0.7500 0.7500
0.2500 0.2500 0.2500
```

Calculated values
Total magnetization   3.00 μB/f.u.
Raw formation energy   -31.4 eV per formula unit
Space group   Fm-3m, No. 225

=====

Which of these has the highest total magnetization? KRb2CrF6

=====

What is the total magnetization in the first record? 0.00 μB/f.u.

=====

Repeat the second record exactly.
A plane-wave DFT calculation with SCAN was carried out for a PBEsol-optimized structure of KRb2CrF6.

Cell and atoms, written as POSCAR:
```
KRb2CrF6
1.0
6.2065 0.0000 0.0000
3.1032 5.3750 0.0000
3.1032 1.7917 5.0676
Cr F K Rb
1 6 1 2
direct
0.0000 0.0000 0.0000
0.7826 0.2174 0.2174
0.2174 0.7826 0.2174
0.2174 0.7826 0.7826
0.2174 0.2174 0.7826
0.7826 0.2174 0.7826
0.7826 0.7826 0.2174
0.5000 0.5000 0.5000
0.7500 0.7500 0.7500
0.2500 0.2500 0.2500
```

Calculated values
Total magnetization   3.00 μB/f.u.
Raw formation energy   -31.4 eV per formula unit
Space group   Fm-3m, No. 225